## Al2PtSe (PBE-GGA)

Data for a relaxed Al2PtSe crystal.

Values from the calculation:
- crystal system = tetragonal
- SG = P4/mmm, No. 123
- formation energy from raw total energies (meV per atom) = -353
- D(E_F) (states/eV/atom) = 0.446

Cell: 3.178 3.178 6.592 Å, 90.00 90.00 90.00°
Fractional positions:
1 Al 0.000 0.000 0.228
2 Al 0.000 0.000 0.772
3 Pt 0.500 0.500 0.000
4 Se 0.500 0.500 0.500

## LiNpPO5 (PBE-GGA)

Data for a relaxed LiNpPO5 crystal.

Values from the calculation:
- crystal system = monoclinic
- SG = C2/c, No. 15
- formation energy from raw total energies (meV per atom) = -2577
- D(E_F) (states/eV/atom) = 1.049

Cell: 5.803 5.803 7.880 Å, 109.26 109.26 92.31°
Fractional positions:
1 Li 0.173 0.827 0.750
2 Li 0.827 0.173 0.250
3 Np 0.500 0.500 0.000
4 Np 0.500 0.500 0.500
5 P 0.135 0.865 0.250
6 P 0.865 0.135 0.750
7 O 0.153 0.191 0.847
8 O 0.191 0.153 0.347
9 O 0.225 0.744 0.403
10 O 0.256 0.775 0.097
11 O 0.404 0.596 0.750
12 O 0.596 0.404 0.250
13 O 0.744 0.225 0.903
14 O 0.775 0.256 0.597
15 O 0.809 0.847 0.653
16 O 0.847 0.809 0.153

## Hf2GeP (PBE-GGA)

Data for a relaxed Hf2GeP crystal.

Values from the calculation:
- crystal system = trigonal
- SG = R-3m, No. 166
- offset from the most stable computed form (meV per atom) = 545.2
- D(E_F) (states/eV/atom) = 0.989

Cell: 3.500 3.500 25.146 Å, 90.00 90.00 120.00°
Fractional positions:
1 Hf 0.000 0.000 0.107
2 Hf 0.000 0.000 0.893
3 Hf 0.333 0.667 0.560
4 Hf 0.333 0.667 0.773
5 Hf 0.667 0.333 0.227
6 Hf 0.667 0.333 0.440
7 Ge 0.000 0.000 0.000
8 Ge 0.333 0.667 0.667
9 Ge 0.667 0.333 0.333
10 P 0.000 0.000 0.500
11 P 0.333 0.667 0.167
12 P 0.667 0.333 0.833

## RbSn2Sb2 (PBE-GGA)

Data for a relaxed RbSn2Sb2 crystal.

Values from the calculation:
- crystal system = tetragonal
- SG = I4/mmm, No. 139
- formation energy from raw total energies (meV per atom) = -157
- D(E_F) (states/eV/atom) = 0.287

Cell: 5.343 5.343 13.448 Å, 90.00 90.00 90.00°
Fractional positions:
1 Rb 0.000 0.000 0.000
2 Rb 0.500 0.500 0.500
3 Sn 0.000 0.500 0.250
4 Sn 0.000 0.500 0.750
5 Sn 0.500 0.000 0.250
6 Sn 0.500 0.000 0.750
7 Sb 0.000 0.000 0.357
8 Sb 0.000 0.000 0.643
9 Sb 0.500 0.500 0.143
10 Sb 0.500 0.500 0.857

## AgAuSe (PBE-GGA)

Data for a relaxed AgAuSe crystal.

Values from the calculation:
- crystal system = monoclinic
- SG = P2_1, No. 4
- formation energy from raw total energies (meV per atom) = -66
- D(E_F) (states/eV/atom) = 0.046

Cell: 4.692 5.800 5.650 Å, 90.00 102.06 90.00°
Fractional positions:
1 Ag 0.040 0.000 0.452
2 Ag 0.960 0.500 0.548
3 Au 0.007 0.868 0.953
4 Au 0.993 0.368 0.047
5 Se 0.332 0.653 0.293
6 Se 0.668 0.153 0.707

## BaSc2Te (PBE-GGA)

Data for a relaxed BaSc2Te crystal.

Values from the calculation:
- crystal system = cubic
- SG = F-43m, No. 216
- formation energy from raw total energies (meV per atom) = -38
- D(E_F) (states/eV/atom) = 1.796

Cell: 7.875 7.875 7.875 Å, 90.00 90.00 90.00°
Fractional positions:
1 Ba 0.000 0.000 0.000
2 Ba 0.000 0.500 0.500
3 Ba 0.500 0.000 0.500
4 Ba 0.500 0.500 0.000
5 Sc 0.000 0.000 0.500
6 Sc 0.000 0.500 0.000
7 Sc 0.250 0.250 0.250
8 Sc 0.250 0.750 0.750
9 Sc 0.500 0.000 0.000
10 Sc 0.500 0.500 0.500
11 Sc 0.750 0.250 0.750
12 Sc 0.750 0.750 0.250
13 Te 0.250 0.250 0.750
14 Te 0.250 0.750 0.250
15 Te 0.750 0.250 0.250
16 Te 0.750 0.750 0.750

## SmTlCdIn (PBE-GGA)

Data for a relaxed SmTlCdIn crystal.

Values from the calculation:
- crystal system = cubic
- SG = F-43m, No. 216
- offset from the most stable computed form (meV per atom) = 161.8
- D(E_F) (states/eV/atom) = 0.688

Cell: 7.511 7.511 7.511 Å, 90.00 90.00 90.00°
Fractional positions:
1 Sm 0.000 0.000 0.000
2 Sm 0.000 0.500 0.500
3 Sm 0.500 0.000 0.500
4 Sm 0.500 0.500 0.000
5 Tl 0.250 0.250 0.250
6 Tl 0.250 0.750 0.750
7 Tl 0.750 0.250 0.750
8 Tl 0.750 0.750 0.250
9 Cd 0.000 0.000 0.500
10 Cd 0.000 0.500 0.000
11 Cd 0.500 0.000 0.000
12 Cd 0.500 0.500 0.500
13 In 0.250 0.250 0.750
14 In 0.250 0.750 0.250
15 In 0.750 0.250 0.250
16 In 0.750 0.750 0.750

## CsLaI2O8 (PBE-GGA)

Data for a relaxed CsLaI2O8 crystal.

Values from the calculation:
- crystal system = trigonal
- SG = R-3, No. 148
- formation energy from raw total energies (meV per atom) = -1063
- D(E_F) (states/eV/atom) = 0.070

Cell: 8.809 8.809 8.809 Å, 41.47 41.47 41.47°
Fractional positions:
1 Cs 0.000 0.000 0.000
2 La 0.500 0.500 0.500
3 I 0.235 0.235 0.235
4 I 0.765 0.765 0.765
5 O 0.098 0.497 0.738
6 O 0.262 0.902 0.503
7 O 0.309 0.309 0.309
8 O 0.497 0.738 0.098
9 O 0.503 0.262 0.902
10 O 0.691 0.691 0.691
11 O 0.738 0.098 0.497
12 O 0.902 0.503 0.262

## K2UZnO6 (PBE-GGA)

Data for a relaxed K2UZnO6 crystal.

Values from the calculation:
- crystal system = tetragonal
- SG = I4/mmm, No. 139
- formation energy from raw total energies (meV per atom) = -1972
- D(E_F) (states/eV/atom) = 0.827

Cell: 5.848 5.848 5.848 Å, 119.90 119.90 90.17°
Fractional positions:
1 K 0.250 0.750 0.500
2 K 0.750 0.250 0.500
3 U 0.000 0.000 0.000
4 Zn 0.500 0.500 0.000
5 O 0.246 0.246 0.492
6 O 0.246 0.754 0.000
7 O 0.247 0.247 0.000
8 O 0.753 0.753 0.000
9 O 0.754 0.246 0.000
10 O 0.754 0.754 0.508

## PaVH5 (PBE-GGA)

Data for a relaxed PaVH5 crystal.

Values from the calculation:
- crystal system = monoclinic
- SG = C2/c, No. 15
- electronic total energy (eV/cell) = -72.6
- D(E_F) (states/eV/atom) = 0.489

Cell: 4.086 4.086 7.377 Å, 102.94 102.94 87.28°
Fractional positions:
1 Pa 0.104 0.896 0.750
2 Pa 0.896 0.104 0.250
3 V 0.500 0.500 0.000
4 V 0.500 0.500 0.500
5 H 0.082 0.444 0.867
6 H 0.086 0.675 0.429
7 H 0.325 0.914 0.071
8 H 0.444 0.082 0.367
9 H 0.496 0.504 0.750
10 H 0.504 0.496 0.250
11 H 0.556 0.918 0.633
12 H 0.675 0.086 0.929
13 H 0.914 0.325 0.571
14 H 0.918 0.556 0.133

## KCuH4 (PBE-GGA)

Data for a relaxed KCuH4 crystal.

Values from the calculation:
- crystal system = monoclinic
- SG = C2/m, No. 12
- electronic total energy (eV/cell) = -35.7

Cell: 6.878 6.878 4.340 Å, 107.95 107.95 49.23°
Fractional positions:
1 K 0.163 0.163 0.267
2 K 0.837 0.837 0.733
3 Cu 0.437 0.437 0.192
4 Cu 0.563 0.563 0.808
5 H 0.173 0.649 0.316
6 H 0.312 0.312 0.948
7 H 0.330 0.670 0.000
8 H 0.351 0.827 0.684
9 H 0.649 0.173 0.316
10 H 0.670 0.330 0.000
11 H 0.688 0.688 0.052
12 H 0.827 0.351 0.684

## ScSiF2 (PBE-GGA)

Data for a relaxed ScSiF2 crystal.

Values from the calculation:
- crystal system = trigonal
- SG = R-3m, No. 166
- offset from the most stable computed form (meV per atom) = 461.6
- formation energy from raw total energies (meV per atom) = -1472
- D(E_F) (states/eV/atom) = 0.258

Cell: 3.062 3.062 24.280 Å, 90.00 90.00 120.00°
Fractional positions:
1 Sc 0.000 0.000 0.000
2 Sc 0.333 0.667 0.667
3 Sc 0.667 0.333 0.333
4 Si 0.000 0.000 0.500
5 Si 0.333 0.667 0.167
6 Si 0.667 0.333 0.833
7 F 0.000 0.000 0.081
8 F 0.000 0.000 0.919
9 F 0.333 0.667 0.586
10 F 0.333 0.667 0.748
11 F 0.667 0.333 0.252
12 F 0.667 0.333 0.414

## BiPdSe2 (PBE-GGA)

Data for a relaxed BiPdSe2 crystal.

Values from the calculation:
- crystal system = trigonal
- SG = R3m, No. 160
- formation energy from raw total energies (meV per atom) = -207
- D(E_F) (states/eV/atom) = 0.625

Cell: 3.921 3.921 20.755 Å, 90.00 90.00 120.00°
Fractional positions:
1 Bi 0.000 0.000 0.000
2 Bi 0.333 0.667 0.667
3 Bi 0.667 0.333 0.333
4 Pd 0.000 0.000 0.835
5 Pd 0.333 0.667 0.502
6 Pd 0.667 0.333 0.169
7 Se 0.000 0.000 0.233
8 Se 0.000 0.000 0.433
9 Se 0.333 0.667 0.100
10 Se 0.333 0.667 0.900
11 Se 0.667 0.333 0.567
12 Se 0.667 0.333 0.767